1.
The following is a DFT calculation (GGA-PBE) of a relaxed structure of LaTcN3.

a b c (Å): 3.927 5.953 6.326
angles (deg): 68.25 79.88 71.76
Space group P1 (No. 1)
Symmetry-distinct sites (fractional):
La  0.000  0.000  0.000
La  0.170  0.340  0.337
Tc  0.413  0.517  0.711
Tc  0.797  0.861  0.594
N  0.275  0.889  0.683
N  0.285  0.739  0.377
N  0.520  0.885  0.286
N  0.615  0.211  0.646
N  0.693  0.447  0.007
N  0.906  0.602  0.934

Properties
The calculation puts the density of states at the Fermi level at 2.1 states/eV per cell. The value obtained for the formation energy (no corrections) is -9.1 kcal/mol of atoms.

---

2.
The following is a DFT calculation (GGA-PBE) of a relaxed structure of LaTcN3.

a b c (Å): 4.687 5.000 7.188
angles (deg): 72.70 87.85 62.85
Space group P1 (No. 1)
Symmetry-distinct sites (fractional):
La  0.000  0.000  0.000
La  0.245  0.590  0.606
Tc  0.513  0.049  0.328
Tc  0.850  0.415  0.345
N  0.085  0.411  0.118
N  0.330  0.330  0.014
N  0.399  0.725  0.281
N  0.580  0.926  0.596
N  0.634  0.850  0.773
N  0.903  0.264  0.611

Properties
The calculation puts the density of states at the Fermi level at 0.0 states/eV per cell. The value obtained for the formation energy (no corrections) is -10.5 kcal/mol of atoms.

---

3.
The following is a DFT calculation (GGA-PBE) of a relaxed structure of La2TcN6.

a b c (Å): 7.737 7.737 7.737
angles (deg): 90.00 90.00 90.00
Space group Fm-3m (No. 225)
Symmetry-distinct sites (fractional):
La  0.250  0.250  0.250
Tc  0.000  0.000  0.000
N  0.000  0.000  0.254

Properties
The calculation puts the density of states at the Fermi level at 22.8 states/eV per cell. The value obtained for the formation energy (no corrections) is 7.7 kcal/mol of atoms.

---

4.
The following is a DFT calculation (GGA-PBE) of a relaxed structure of La3TcN4.

a b c (Å): 7.820 7.006 5.472
angles (deg): 90.00 90.00 90.00
Space group Pmn2_1 (No. 31)
Symmetry-distinct sites (fractional):
La  0.000  0.135  0.000
La  0.245  0.335  0.503
Tc  0.000  0.824  0.456
N  0.000  0.101  0.487
N  0.000  0.809  0.082
N  0.221  0.695  0.488

Properties
The calculation puts the density of states at the Fermi level at 11.2 states/eV per cell. The value obtained for the formation energy (no corrections) is -20.0 kcal/mol of atoms.

---

5.
The following is a DFT calculation (GGA-PBE) of a relaxed structure of LaTcN3.

a b c (Å): 4.091 12.858 5.518
angles (deg): 90.00 90.00 90.00
Space group Cmcm (No. 63)
Symmetry-distinct sites (fractional):
La  0.000  0.128  0.250
Tc  0.000  0.401  0.250
N  0.000  0.500  0.000
N  0.156  0.207  0.750

Properties
The calculation puts the density of states at the Fermi level at 9.9 states/eV per cell. The value obtained for the formation energy (no corrections) is -10.7 kcal/mol of atoms.

---

6.
The following is a DFT calculation (GGA-PBE) of a relaxed structure of LaTcN3.

a b c (Å): 5.4287 5.4287 15.6139
angles (deg): 90.00 90.00 120.00
Space group R-3 (No. 148, hexagonal axes)
Symmetry-distinct sites (fractional):
La  0.0000  0.0000  0.1227
Tc  0.0000  0.0000  0.3459
N  0.0107  0.5040  0.9197

Properties
The calculation puts the density of states at the Fermi level at 18.6 states/eV per cell. The value obtained for the formation energy (no corrections) is -8.9 kcal/mol of atoms.

---

7.
The following is a DFT calculation (GGA-PBE) of a relaxed structure of LaTcN3.

a b c (Å): 5.9617 5.9617 17.3278
angles (deg): 90.00 90.00 120.00
Space group R-3c (No. 167, hexagonal axes)
Symmetry-distinct sites (fractional):
La  0.0000  0.0000  0.0000
Tc  0.0000  0.0000  0.2500
N  0.0000  0.3000  0.2500

Properties
The calculation puts the density of states at the Fermi level at 7.5 states/eV per cell. The value obtained for the formation energy (no corrections) is -6.0 kcal/mol of atoms.

---

8.
The following is a DFT calculation (GGA-PBE) of a relaxed structure of La2TcN5.

a b c (Å): 5.841 5.841 7.340
angles (deg): 90.00 90.00 90.00
Space group I4mm (No. 107)
Symmetry-distinct sites (fractional):
La  0.000  0.500  0.000
Tc  0.000  0.000  0.245
N  0.000  0.000  0.485
N  0.229  0.229  0.183

Properties
The calculation puts the density of states at the Fermi level at 9.4 states/eV per cell. The value obtained for the formation energy (no corrections) is -4.3 kcal/mol of atoms.

---

9.
The following is a DFT calculation (GGA-PBE) of a relaxed structure of LaTcN3.

a b c (Å): 3.741 3.975 5.044
angles (deg): 79.96 89.79 89.88
Space group P1 (No. 1)
Symmetry-distinct sites (fractional):
La  0.000  0.000  0.000
Tc  0.501  0.593  0.603
N  0.499  0.434  0.032
N  0.500  0.587  0.238
N  0.502  0.053  0.658

Properties
The calculation puts the density of states at the Fermi level at 2.0 states/eV per cell. The value obtained for the formation energy (no corrections) is -9.2 kcal/mol of atoms.

---

10.
The following is a DFT calculation (GGA-PBE) of a relaxed structure of LaTcN3.

a b c (Å): 3.622 13.786 5.092
angles (deg): 90.00 90.00 90.00
Space group Cmcm (No. 63)
Symmetry-distinct sites (fractional):
La  0.000  0.155  0.250
Tc  0.000  0.456  0.250
N  0.000  0.000  0.000
N  0.178  0.170  0.750

Properties
The calculation puts the density of states at the Fermi level at 15.8 states/eV per cell. The value obtained for the formation energy (no corrections) is -4.0 kcal/mol of atoms.

---

11.
The following is a DFT calculation (GGA-PBE) of a relaxed structure of LaTcN3.

a b c (Å): 3.432 3.858 4.932
angles (deg): 90.00 90.00 90.00
Space group Pmm2 (No. 25)
Symmetry-distinct sites (fractional):
La  0.000  0.000  0.000
Tc  0.500  0.500  0.571
N  0.000  0.182  0.505
N  0.500  0.500  0.952

Properties
The calculation puts the density of states at the Fermi level at 2.4 states/eV per cell. The value obtained for the formation energy (no corrections) is -8.8 kcal/mol of atoms.

---

12.
The following is a DFT calculation (GGA-PBE) of a relaxed structure of LaTcN3.

a b c (Å): 4.968 5.479 5.542
angles (deg): 90.00 107.28 90.00
Space group P2_1/m (No. 11)
Symmetry-distinct sites (fractional):
La  0.208  0.250  0.371
Tc  0.413  0.750  0.049
N  0.090  0.750  0.107
N  0.376  0.518  0.740

Properties
The calculation puts the density of states at the Fermi level at 3.0 states/eV per cell. The value obtained for the formation energy (no corrections) is -12.3 kcal/mol of atoms.